The following is a PBEsol calculation of a relaxed structure of Ti2CdIr2, from the Alexandria database.

Cell: 2.9045 7.4442 7.4442 Å, 90.00 90.00 90.00°
Atoms (fractional coordinates):
Cd 0.0000 0.5000 0.5000
Ti 0.5000 0.8438 0.3438
Ir 0.0000 0.6375 0.1375
Ir 0.0000 0.8625 0.6375
Ir 0.0000 0.1375 0.3625
Ir 0.0000 0.3625 0.8625
Ti 0.5000 0.3438 0.1562
Ti 0.5000 0.1562 0.6562
Ti 0.5000 0.6562 0.8438
Cd 0.0000 0.0000 0.0000

Computed properties:
**Calculated total energy**: -8.10 eV per atom
**M_tot**: 0.000 μB per atom

***

The following is a PBEsol calculation of a relaxed structure of TiZnCd2Ir, from the Alexandria database.

Cell: 4.5952 4.9698 4.9698 Å, 90.00 90.00 90.00°
Site moments in Bohr magnetons follow the coordinates.
Atoms (fractional coordinates):
Ir 0.5000 0.5000 0.5000  -0.33
Cd 0.0000 0.0000 0.5000  0.07
Zn 0.5000 0.0000 0.0000  0.06
Cd 0.0000 0.5000 0.0000  0.07
Ti 0.0000 0.0000 0.0000  1.12

Computed properties:
**Calculated total energy**: -2.67 eV per atom
**M_tot**: 0.242 μB per atom

***

The following is a PBEsol calculation of a relaxed structure of TlCd3Ir, from the Alexandria database.

Cell: 5.1950 5.1950 5.1950 Å, 90.00 90.00 90.00°
Site moments in Bohr magnetons follow the coordinates.
Atoms (fractional coordinates):
Cd 0.5000 0.0000 0.0000  0.02
Cd 0.0000 0.5000 0.0000  0.02
Cd 0.0000 0.0000 0.5000  0.02
Tl 0.0000 0.0000 0.0000  0.07
Ir 0.5000 0.5000 0.5000  1.45

Computed properties:
**Calculated total energy**: -1.71 eV per atom
**M_tot**: 0.331 μB per atom

***

> The lowest calculated total energy belongs to which entry?

Ti2CdIr2